# 1
The following is a DFT calculation (PBE) of a relaxed structure of Tb8Sm2Hg. Values from VASP.

Quantum ESPRESSO input file:
```
&SYSTEM
  ibrav = 0, nat = 11, ntyp = 3
/
ATOMIC_SPECIES
Tb 158.93 Tb.upf
Sm 150.36 Sm.upf
Hg 200.59 Hg.upf
CELL_PARAMETERS angstrom
-3.179 3.536 1.490
-4.917 -5.553 2.690
4.002 -3.201 7.802
ATOMIC_POSITIONS crystal
Tb 0.412 0.442 0.823
Tb 0.680 0.090 0.360
Tb 0.866 0.175 0.733
Tb 0.955 0.722 0.910
Tb 0.134 0.825 0.267
Tb 0.320 0.910 0.640
Tb 0.588 0.558 0.177
Tb 0.045 0.278 0.090
Sm 0.777 0.636 0.554
Sm 0.223 0.364 0.446
Hg 0.500 0.000 0.000
```

Total magnetic moment   0.0000 μB per atom
V   31.0 Å³ per atom
E_form   -0.029 eV/atom
Electronic total energy   -47.11 eV for the cell shown
Symmetry   C2/m (12)
Distance to the lowest polymorph of the same formula   0.000 kcal/mol of atoms

# 2
The following is a DFT calculation (PBE) of a relaxed structure of TcAgBr2. Values from VASP.

Quantum ESPRESSO input file:
```
&SYSTEM
  ibrav = 0, nat = 4, ntyp = 3
/
ATOMIC_SPECIES
Br 79.90 Br.upf
Tc 98.00 Tc.upf
Ag 107.87 Ag.upf
CELL_PARAMETERS angstrom
-5.131 2.584 -5.014
-5.546 -3.159 -4.172
3.696 1.866 6.403
ATOMIC_POSITIONS crystal
Br 0.892 0.892 0.000
Br 0.608 0.608 0.000
Tc 0.750 0.250 0.500
Ag 0.250 0.750 0.500
```

Total magnetic moment   0.3590 μB per atom
V   27.3 Å³ per atom
Electronic total energy   -15.72 eV for the cell shown
Symmetry   Immm (71)
Distance to the lowest polymorph of the same formula   0.000 kcal/mol of atoms

# 3
The following is a DFT calculation (PBE) of a relaxed structure of AlPSe4. Values from VASP.

Quantum ESPRESSO input file:
```
&SYSTEM
  ibrav = 0, nat = 12, ntyp = 3
/
ATOMIC_SPECIES
Al 26.98 Al.upf
P 30.97 P.upf
Se 78.96 Se.upf
CELL_PARAMETERS angstrom
6.812 0.000 0.000
0.000 6.812 0.000
0.000 0.000 10.078
ATOMIC_POSITIONS crystal
Al 0.000 0.000 0.500
Al 0.000 0.000 0.000
P 0.000 0.500 0.000
P 0.500 0.000 0.500
Se 0.738 0.245 0.500
Se 0.755 0.262 0.000
Se 0.738 0.755 0.500
Se 0.245 0.738 0.000
Se 0.262 0.755 0.500
Se 0.245 0.262 0.000
Se 0.755 0.738 0.000
Se 0.262 0.245 0.500
```

Total magnetic moment   0.0000 μB per atom
V   39.0 Å³ per atom
Electronic total energy   -45.11 eV for the cell shown
Symmetry   P4_2/mmc (131)

# 4
The following is a DFT calculation (PBE) of a relaxed structure of TaZn3Cl. Values from VASP.

Quantum ESPRESSO input file:
```
&SYSTEM
  ibrav = 0, nat = 5, ntyp = 3
/
ATOMIC_SPECIES
Zn 65.41 Zn.upf
Cl 35.45 Cl.upf
Ta 180.95 Ta.upf
CELL_PARAMETERS angstrom
-1.760 -2.922 -3.995
-2.716 -2.974 3.372
-4.137 3.195 -0.515
ATOMIC_POSITIONS crystal
Zn 0.000 0.500 0.000
Zn 0.000 0.000 0.500
Zn 0.500 0.000 0.000
Cl 0.500 0.500 0.500
Ta 0.000 0.000 0.000
```

Total magnetic moment   0.4699 μB per atom
V   29.0 Å³ per atom
Electronic total energy   -12.63 eV for the cell shown
Symmetry   Pm-3m (221)
Distance to the lowest polymorph of the same formula   0.000 kcal/mol of atoms

# 5
The following is a DFT calculation (PBE) of a relaxed structure of LiCoP2. Values from VASP.

Quantum ESPRESSO input file:
```
&SYSTEM
  ibrav = 0, nat = 4, ntyp = 3
/
ATOMIC_SPECIES
Co 58.93 Co.upf
Li 6.94 Li.upf
P 30.97 P.upf
CELL_PARAMETERS angstrom
3.173 0.000 0.000
0.000 3.173 0.000
0.000 0.000 4.688
ATOMIC_POSITIONS crystal
Co 0.000 0.000 0.465
Li 0.500 0.500 0.772
P 0.000 0.000 0.984
P 0.500 0.500 0.279
```

Total magnetic moment   0.0000 μB per atom
V   11.8 Å³ per atom
E_form   -0.109 eV/atom
Electronic total energy   -20.27 eV for the cell shown
Symmetry   P4mm (99)
Distance to the lowest polymorph of the same formula   6.604 kcal/mol of atoms

# 6
The following is a DFT calculation (PBE) of a relaxed structure of PuMgSnHg. Values from VASP.

Quantum ESPRESSO input file:
```
&SYSTEM
  ibrav = 0, nat = 4, ntyp = 4
/
ATOMIC_SPECIES
Mg 24.30 Mg.upf
Hg 200.59 Hg.upf
Sn 118.71 Sn.upf
Pu 244.00 Pu.upf
CELL_PARAMETERS angstrom
5.200 0.000 0.000
2.600 4.503 0.000
2.600 1.501 4.246
ATOMIC_POSITIONS crystal
Mg 0.250 0.250 0.250
Hg 0.000 0.000 0.000
Sn 0.500 0.500 0.500
Pu 0.750 0.750 0.750
```

Total magnetic moment   1.4578 μB per atom
V   24.9 Å³ per atom
E_form   -0.266 eV/atom
Electronic total energy   -21.29 eV for the cell shown
Symmetry   F-43m (216)

# 7
The following is a DFT calculation (PBE) of a relaxed structure of KIr2W. Values from VASP.

Quantum ESPRESSO input file:
```
&SYSTEM
  ibrav = 0, nat = 8, ntyp = 3
/
ATOMIC_SPECIES
K 39.10 K.upf
Ir 192.22 Ir.upf
W 183.84 W.upf
CELL_PARAMETERS angstrom
-5.402 5.099 -0.809
-3.719 -4.655 -4.509
-6.064 -0.978 -0.180
ATOMIC_POSITIONS crystal
K 0.500 0.500 0.000
K 0.250 0.750 0.500
Ir 0.693 0.125 0.250
Ir 0.057 0.625 0.250
Ir 0.375 0.307 0.750
Ir 0.875 0.943 0.750
W 0.000 0.000 0.000
W 0.750 0.250 0.500
```

Total magnetic moment   0.0000 μB per atom
V   21.9 Å³ per atom
E_form   0.983 eV/atom
Electronic total energy   -55.68 eV for the cell shown
Symmetry   I-42d (122)
Distance to the lowest polymorph of the same formula   16.265 kcal/mol of atoms

# 8
The following is a DFT calculation (PBE) of a relaxed structure of TlHIr3. Values from VASP.

Quantum ESPRESSO input file:
```
&SYSTEM
  ibrav = 0, nat = 5, ntyp = 3
/
ATOMIC_SPECIES
H 1.01 H.upf
Tl 204.38 Tl.upf
Ir 192.22 Ir.upf
CELL_PARAMETERS angstrom
-3.666 1.241 1.273
-1.734 -3.142 -1.929
0.394 -2.278 3.355
ATOMIC_POSITIONS crystal
H 0.000 0.000 0.000
Tl 0.500 0.500 0.500
Ir 0.000 0.500 0.000
Ir 0.000 0.000 0.500
Ir 0.500 0.000 0.000
```

Total magnetic moment   0.0000 μB per atom
V   13.5 Å³ per atom
Electronic total energy   -30.12 eV for the cell shown
Symmetry   Pm-3m (221)
Distance to the lowest polymorph of the same formula   0.000 kcal/mol of atoms

# 9
The following is a DFT calculation (PBE) of a relaxed structure of Zr2ReTc. Values from VASP.

Quantum ESPRESSO input file:
```
&SYSTEM
  ibrav = 0, nat = 4, ntyp = 3
/
ATOMIC_SPECIES
Re 186.21 Re.upf
Tc 98.00 Tc.upf
Zr 91.22 Zr.upf
CELL_PARAMETERS angstrom
-2.219 -5.036 -0.191
2.763 1.417 4.349
-2.137 0.445 1.957
ATOMIC_POSITIONS crystal
Re 0.000 0.500 0.500
Tc 0.500 0.500 0.000
Zr 0.000 0.000 0.000
Zr 0.500 0.000 0.500
```

Total magnetic moment   0.0000 μB per atom
V   17.8 Å³ per atom
E_form   -0.064 eV/atom
Electronic total energy   -40.17 eV for the cell shown
Symmetry   C2/m (12)

# 10
The following is a DFT calculation (PBE) of a relaxed structure of Sr4NdSe5. Values from VASP.

Quantum ESPRESSO input file:
```
&SYSTEM
  ibrav = 0, nat = 10, ntyp = 3
/
ATOMIC_SPECIES
Sr 87.62 Sr.upf
Nd 144.24 Nd.upf
Se 78.96 Se.upf
CELL_PARAMETERS angstrom
5.591 0.000 2.697
2.795 6.950 1.348
-0.224 0.000 7.608
ATOMIC_POSITIONS crystal
Sr 0.403 0.398 0.798
Sr 0.801 0.798 0.602
Sr 0.201 0.202 0.398
Sr 0.599 0.602 0.202
Nd 0.001 0.000 0.000
Se 0.903 0.390 0.805
Se 0.293 0.805 0.610
Se 0.708 0.195 0.390
Se 0.099 0.610 0.195
Se 0.501 0.000 0.000
```

Total magnetic moment   0.0000 μB per atom
V   30.0 Å³ per atom
Electronic total energy   -48.84 eV for the cell shown
Symmetry   I4/m (87)

# 11
The following is a DFT calculation (PBE) of a relaxed structure of MnGaSiRhSe. Values from VASP.

Quantum ESPRESSO input file:
```
&SYSTEM
  ibrav = 0, nat = 5, ntyp = 5
/
ATOMIC_SPECIES
Si 28.09 Si.upf
Mn 54.94 Mn.upf
Rh 102.91 Rh.upf
Ga 69.72 Ga.upf
Se 78.96 Se.upf
CELL_PARAMETERS angstrom
-0.554 -2.598 0.788
4.649 -0.583 -3.541
1.215 1.391 5.455
ATOMIC_POSITIONS crystal
Si 0.518 0.983 0.179
Mn 0.108 0.163 0.951
Rh 0.845 0.639 0.183
Ga 0.414 0.777 0.587
Se 0.699 0.341 0.690
```

Total magnetic moment   0.5168 μB per atom
V   16.3 Å³ per atom
Electronic total energy   -29.35 eV for the cell shown
Symmetry   Cm (8)
Distance to the lowest polymorph of the same formula   2.310 kcal/mol of atoms

# 12
The following is a DFT calculation (PBE) of a relaxed structure of NaInSbS3. Values from VASP.

Quantum ESPRESSO input file:
```
&SYSTEM
  ibrav = 0, nat = 12, ntyp = 4
/
ATOMIC_SPECIES
Na 22.99 Na.upf
In 114.82 In.upf
Sb 121.76 Sb.upf
S 32.06 S.upf
CELL_PARAMETERS angstrom
4.483 0.000 0.000
0.000 7.310 1.737
0.000 -1.858 9.688
ATOMIC_POSITIONS crystal
Na 0.250 0.107 0.134
Na 0.750 0.893 0.866
In 0.250 0.143 0.571
In 0.750 0.857 0.429
Sb 0.250 0.602 0.152
Sb 0.750 0.398 0.848
S 0.750 0.824 0.173
S 0.250 0.176 0.827
S 0.250 0.791 0.546
S 0.750 0.209 0.454
S 0.750 0.346 0.093
S 0.250 0.654 0.907
```

Total magnetic moment   0.0000 μB per atom
V   27.7 Å³ per atom
Electronic total energy   -46.54 eV for the cell shown
Symmetry   P2_1/m (11)